[1]
Compound: AgSbAu2
Source: the Alexandria database
Functional: GGA-PBE
Structure: relaxed

```
AgSbAu2
1.0
5.167 0.044 -0.032
4.143 3.088 -0.032
0.741 0.249 5.074
Ag Au Sb
1 2 1
Cartesian
2.512 0.845 1.252
5.048 1.698 2.453
9.286 3.125 -0.013
7.537 2.536 3.757
```

Values from the calculation:
The value obtained for the density of states at the Fermi level is 0.28 states/eV/atom. The formation energy (no corrections) comes out at 0.045 eV/atom. The total magnetization is 0.000 μB/f.u.

---

[2]
Compound: AgSb2Au
Source: the Alexandria database
Functional: GGA-PBE
Structure: relaxed

```
AgSb2Au
1.0
-0.916 0.709 7.792
-7.782 -0.896 -0.833
-4.032 -3.136 3.794
Au Sb Ag
2 4 2
Cartesian
0.000 0.000 0.000
-4.648 -1.260 7.532
-5.974 -1.265 1.294
-2.566 -0.443 5.822
-10.742 -2.527 8.923
-6.178 -2.409 5.466
-8.081 -2.062 3.220
-4.349 -0.093 3.479
```

Values from the calculation:
The value obtained for the energy above the most stable polymorph in this dataset is 35 kJ/mol of formula units. The value obtained for the density of states at the Fermi level is 0.53 states/eV/atom. The formation energy (no corrections) comes out at 0.130 eV/atom. The total magnetization is 0.000 μB/f.u.

---

[3]
Compound: Ag6SbAu8
Source: the Alexandria database
Functional: GGA-PBE
Structure: relaxed

```
Ag6SbAu8
1.0
-2.615 -1.663 7.408
5.184 -0.241 6.128
0.053 4.566 5.396
Au Ag Sb
8 6 1
Cartesian
-1.340 1.322 10.126
3.963 1.339 8.806
0.579 1.161 4.817
2.044 1.500 14.115
0.657 0.301 11.911
3.083 1.771 11.499
-0.460 0.889 7.433
1.966 2.360 7.021
0.313 3.095 11.402
-0.065 3.542 8.430
2.697 3.760 9.655
2.310 -0.434 7.530
2.688 -0.881 10.502
-0.074 -1.099 9.277
0.000 0.000 0.000
```

Values from the calculation:
The value obtained for the density of states at the Fermi level is 0.33 states/eV/atom. The formation energy (no corrections) comes out at 0.074 eV/atom. The total magnetization is 0.000 μB/f.u.

---

[4]
Compound: Ag4SbAu
Source: the Alexandria database
Functional: GGA-PBE
Structure: relaxed

```
Ag4SbAu
1.0
-2.500 -1.213 4.784
-1.291 4.043 3.550
-5.293 1.404 0.789
Ag Sb Au
4 1 1
Cartesian
-4.656 0.984 5.810
-4.053 3.606 5.194
-3.409 1.589 3.424
-6.050 2.289 3.817
0.000 0.000 0.000
-6.813 3.175 6.842
```

Values from the calculation:
The value obtained for the energy above the most stable polymorph in this dataset is 66 kJ/mol of formula units. The value obtained for the density of states at the Fermi level is 0.27 states/eV/atom. The formation energy (no corrections) comes out at 0.160 eV/atom. The total magnetization is 0.000 μB/f.u.

---

[5]
Compound: Ag6SbAu2
Source: the Alexandria database
Functional: GGA-PBE
Structure: relaxed

```
Ag6SbAu2
1.0
6.600 -0.334 -0.323
1.542 7.535 0.455
1.542 0.699 7.516
Ag Au Sb
12 4 2
Cartesian
7.328 7.834 6.108
6.560 0.858 2.554
4.474 5.248 3.365
2.356 0.067 1.541
5.655 1.375 -0.145
3.261 2.747 0.936
1.910 4.534 2.673
5.210 2.652 4.283
3.123 7.043 5.095
6.423 5.154 6.713
7.774 3.367 4.975
4.028 6.525 7.793
7.078 5.965 4.061
5.906 3.482 1.656
3.778 4.419 5.992
2.606 1.935 3.588
3.192 1.642 6.375
6.492 6.258 1.273
```

Values from the calculation:
The value obtained for the energy above the most stable polymorph in this dataset is 121 kJ/mol of formula units. The value obtained for the density of states at the Fermi level is 0.30 states/eV/atom. The formation energy (no corrections) comes out at 0.155 eV/atom. The total magnetization is 0.000 μB/f.u.

---

[6]
Compound: AgSbAu2
Source: the Alexandria database
Functional: GGA-PBE
Structure: relaxed

```
AgSbAu2
1.0
-2.986 0.262 -1.523
-1.012 -3.661 1.355
-2.274 2.435 4.880
Ag Au Sb
1 2 1
Cartesian
-3.743 0.168 3.658
-2.567 -1.092 1.134
-2.256 2.416 4.841
-1.117 1.196 2.398
```

Values from the calculation:
The value obtained for the density of states at the Fermi level is 0.45 states/eV/atom. The formation energy (no corrections) comes out at 0.058 eV/atom. The total magnetization is 0.000 μB/f.u.

---

[7]
Compound: Ag5SbAu6
Source: the Alexandria database
Functional: GGA-PBE
Structure: relaxed

```
Ag5SbAu6
1.0
4.056 -0.002 -1.136
-2.873 6.910 -2.469
0.022 0.132 7.879
Ag Au Sb
5 6 1
Cartesian
-0.949 2.405 4.408
0.603 3.520 2.137
-0.345 5.740 -1.253
1.551 1.300 5.526
2.154 4.634 -0.135
-0.181 2.916 -0.667
-1.135 5.251 3.757
1.387 4.123 4.941
2.340 1.789 0.517
0.411 6.407 1.454
0.794 0.632 2.820
0.000 0.000 0.000
```

Values from the calculation:
The value obtained for the density of states at the Fermi level is 0.33 states/eV/atom. The formation energy (no corrections) comes out at -0.020 eV/atom. The total magnetization is 0.000 μB/f.u.

---

[8]
Compound: Ag9SbAu2
Source: the Alexandria database
Functional: GGA-PBE
Structure: relaxed

```
Ag9SbAu2
1.0
-2.376 3.492 0.062
-0.991 -0.602 -4.062
-9.892 -6.791 3.422
Ag Sb Au
9 1 2
Cartesian
-2.911 0.563 0.627
-6.134 -1.649 1.742
-5.442 -3.697 -0.320
-5.022 -0.846 -0.845
-8.665 -5.909 0.795
-1.684 1.445 -2.000
-2.219 -1.484 -1.435
-8.238 -3.054 0.267
-9.357 -3.862 2.857
0.000 0.000 0.000
-6.548 -4.495 2.265
-3.345 -2.296 1.157
```

Values from the calculation:
The value obtained for the density of states at the Fermi level is 0.32 states/eV/atom. The formation energy (no corrections) comes out at -0.001 eV/atom. The total magnetization is 0.000 μB/f.u.